(1)
VASP calculation (SCAN) on a crystal of Te3Se relaxed with PBEsol.

Computed properties:
energy relative to the elements, uncorrected = 0.1376 eV per atom

Unit cell a=4.144 b=7.027 c=7.964 alpha=90.00 beta=90.00 gamma=90.00
Sites, in units of the cell vectors:
Te (0.000, 0.366, 0.500)
Te (0.000, 0.857, 0.745)
Te (0.500, 0.143, 0.245)
Te (0.000, 0.857, 0.255)
Se (0.000, 0.381, 0.000)
Te (0.500, 0.634, 0.000)
Se (0.500, 0.619, 0.500)
Te (0.500, 0.143, 0.755)

***

(2)
VASP calculation (SCAN) on a crystal of LaMgZn2Cu relaxed with PBEsol.

Computed properties:
E_form = 0.748 eV per atom

Unit cell a=4.740 b=4.740 c=5.753 alpha=90.00 beta=90.00 gamma=90.00
Sites, in units of the cell vectors:
La (0.000, 0.000, 0.500)
Zn (0.500, 0.000, 0.000)
Zn (0.000, 0.500, 0.000)
Cu (0.500, 0.500, 0.500)
Mg (0.000, 0.000, 0.000)

***

(3)
VASP calculation (SCAN) on a crystal of NaZnN relaxed with PBEsol.

Computed properties:
energy relative to the elements, uncorrected = -0.1062 eV per atom

Unit cell a=3.401 b=3.401 c=8.588 alpha=90.00 beta=90.00 gamma=120.00
Sites, in units of the cell vectors:
Na (0.333, 0.667, 0.239)
N (0.333, 0.667, 0.948)
Zn (0.000, 0.000, 0.969)
N (0.667, 0.333, 0.448)
Zn (0.000, 0.000, 0.469)
Na (0.667, 0.333, 0.739)

***

(4)
VASP calculation (SCAN) on a crystal of CoCuRe2 relaxed with PBEsol.

Computed properties:
offset from the most stable computed form = 0 meV per atom
E_form = 0.214 eV per atom

Unit cell a=2.583 b=4.048 c=4.926 alpha=90.00 beta=101.67 gamma=90.00
Sites, in units of the cell vectors:
Re (0.000, 0.000, 0.975)
Cu (0.428, 0.500, 0.750)
Re (0.754, 0.500, 0.275)
Co (0.318, 0.000, 0.500)

***

(5)
VASP calculation (SCAN) on a crystal of Cd5Au relaxed with PBEsol.

Computed properties:
offset from the most stable computed form = 17 meV per atom
E_form = -0.081 eV per atom

Unit cell a=3.116 b=4.699 c=8.161 alpha=90.00 beta=101.01 gamma=90.00
Sites, in units of the cell vectors:
Au (0.000, 0.000, 0.000)
Cd (0.223, 0.500, 0.446)
Cd (0.662, 0.000, 0.324)
Cd (0.891, 0.500, 0.782)
Cd (0.339, 0.000, 0.678)
Cd (0.551, 0.500, 0.103)

***

(6)
VASP calculation (SCAN) on a crystal of LaY relaxed with PBEsol.

Computed properties:
offset from the most stable computed form = 14 meV per atom
E_form = 0.028 eV per atom

Unit cell a=3.662 b=6.198 c=6.760 alpha=116.30 beta=105.72 gamma=90.00
Sites, in units of the cell vectors:
Y (0.628, 0.801, 0.255)
Y (0.372, 0.199, 0.745)
La (0.125, 0.301, 0.251)
La (0.875, 0.699, 0.749)

***

(7)
VASP calculation (SCAN) on a crystal of Ni2SnAu2 relaxed with PBEsol.

Computed properties:
E_form = 0.240 eV per atom

Unit cell a=3.554 b=3.554 c=7.022 alpha=104.66 beta=104.66 gamma=90.00
Sites, in units of the cell vectors:
Au (0.610, 0.610, 0.220)
Ni (0.250, 0.750, 0.500)
Au (0.390, 0.390, 0.780)
Sn (0.000, 0.000, 0.000)
Ni (0.750, 0.250, 0.500)

***

(8)
VASP calculation (SCAN) on a crystal of CaLaSc2 relaxed with PBEsol.

Computed properties:
offset from the most stable computed form = 7 meV per atom
E_form = 0.203 eV per atom

Unit cell a=3.483 b=5.914 c=5.914 alpha=107.83 beta=90.00 gamma=90.00
Each line ends with the local moment (μB).
Sites, in units of the cell vectors:
Sc (0.000, 0.000, 0.500)  -0.08
Sc (0.000, 0.500, 0.000)  -0.08
Ca (0.500, 0.000, 0.000)  0.00
La (0.500, 0.500, 0.500)  -0.02

***

(9)
VASP calculation (SCAN) on a crystal of Sr2GeIrC relaxed with PBEsol.

Computed properties:
E_form = 0.066 eV per atom

Unit cell a=3.818 b=5.815 c=5.815 alpha=90.00 beta=90.00 gamma=90.00
Each line ends with the local moment (μB).
Sites, in units of the cell vectors:
Ir (0.000, 0.000, 0.000)  0.03
Ge (0.500, 0.500, 0.500)  0.36
C (0.500, 0.000, 0.000)  0.04
Sr (0.000, 0.500, 0.000)  0.02
Sr (0.000, 0.000, 0.500)  0.02

***

(10)
VASP calculation (SCAN) on a crystal of TlTe2As relaxed with PBEsol.

Computed properties:
energy relative to the elements, uncorrected = 0.1407 eV per atom

Unit cell a=3.787 b=5.566 c=6.133 alpha=116.98 beta=107.98 gamma=90.00
Sites, in units of the cell vectors:
Te (0.728, 0.228, 0.457)
Te (0.976, 0.976, 0.951)
As (0.283, 0.783, 0.566)
Tl (0.513, 0.513, 0.026)

***

Sequential uncorrected energy output: -32.8203; -17.3140; -9.1134; -43.4604; -36.9521; -35.4459; -41.0765; -20.1079; -28.9017; -41.6220 eV/atom